1.
Here is a relaxed La12Tb5Tm2 crystal from Alexandria via LeMat-Bulk. Energies are from GGA-PBE.

Cell: 10.811 9.367 8.202 Å, 86.45 90.00 125.25°
Sites, in units of the cell vectors:
La (0.959, 0.362, 0.209)
La (0.381, 0.215, 0.616)
La (0.875, 0.750, 0.099)
La (0.619, 0.785, 0.384)
La (0.555, 0.111, 0.287)
La (0.834, 0.215, 0.616)
La (0.445, 0.889, 0.713)
La (0.125, 0.250, 0.901)
La (0.403, 0.362, 0.209)
La (0.166, 0.785, 0.384)
La (0.041, 0.638, 0.791)
La (0.597, 0.638, 0.791)
Tm (0.277, 0.000, 0.000)
Tm (0.723, 0.000, 0.000)
Tb (0.760, 0.520, 0.487)
Tb (0.343, 0.685, 0.097)
Tb (0.657, 0.315, 0.903)
Tb (0.240, 0.480, 0.513)
Tb (0.000, 0.000, 0.500)

Results
The energy above the most stable polymorph in this dataset is 0 meV/atom. The calculated formation energy is 123 meV/atom. As for the space group: C2/m. The calculation puts the energy at -4.678 eV per atom.



2.
Here is a relaxed La2Y8Th crystal from Alexandria via LeMat-Bulk. Energies are from GGA-PBE.

Cell: 5.117 8.066 9.548 Å, 104.57 105.54 90.00°
Sites, in units of the cell vectors:
La (0.772, 0.367, 0.544)
La (0.228, 0.633, 0.456)
Y (0.412, 0.551, 0.823)
Y (0.588, 0.449, 0.177)
Y (0.679, 0.906, 0.358)
Y (0.043, 0.733, 0.087)
Y (0.957, 0.267, 0.913)
Y (0.321, 0.094, 0.642)
Y (0.133, 0.174, 0.266)
Y (0.867, 0.826, 0.734)
Th (0.500, 0.000, 0.000)

Results
The energy above the most stable polymorph in this dataset is 0 meV/atom. The calculated formation energy is 36 meV/atom. As for the space group: C2/m. The calculation puts the energy at -6.236 eV per atom.



3.
Here is a relaxed Tl2CuSiAs crystal from Alexandria via LeMat-Bulk. Energies are from GGA-PBE.

Cell: 5.433 4.383 5.433 Å, 90.00 90.00 90.00°
Sites, in units of the cell vectors:
As (0.500, 0.500, 0.500)
Tl (0.000, 0.000, 0.500)
Tl (0.500, 0.000, 0.000)
Cu (0.000, 0.500, 0.000)
Si (0.000, 0.000, 0.000)

Results
As for the space group: P4/mmm. Its formation energy (no corrections) is 0.562 eV/atom. The calculation puts the energy at -3.218 eV per atom.



4.
Here is a relaxed Tl2GaTe4Au crystal from Alexandria via LeMat-Bulk. Energies are from GGA-PBE.

Cell: 7.030 7.026 7.892 Å, 116.41 116.42 90.06°
Sites, in units of the cell vectors:
Te (0.063, 0.097, 0.728)
Te (0.376, 0.807, 0.216)
Te (0.664, 0.631, 0.728)
Te (0.840, 0.409, 0.216)
Tl (0.235, 0.235, 0.471)
Tl (0.486, 0.985, 0.971)
Au (0.986, 0.487, 0.972)
Ga (0.736, 0.736, 0.472)

Results
As for the space group: C2. Its formation energy (no corrections) is -0.148 eV/atom. The calculation puts the energy at -3.098 eV per atom.



5.
Here is a relaxed NaPmGdSn crystal from Alexandria via LeMat-Bulk. Energies are from GGA-PBE.

Cell: 5.430 5.430 5.430 Å, 60.00 60.00 60.00°
Sites, in units of the cell vectors:
Gd (0.000, 0.000, 0.000)
Sn (0.250, 0.250, 0.250)
Pm (0.500, 0.500, 0.500)
Na (0.750, 0.750, 0.750)

Results
The calculated formation energy is -311 meV/atom. As for the space group: F-43m. The calculation puts the energy at -6.349 eV per atom.



6.
Here is a relaxed SrTbTm4S8 crystal from Alexandria via LeMat-Bulk. Energies are from GGA-PBE.

Cell: 8.069 8.069 8.107 Å, 60.16 60.16 60.00°
Sites, in units of the cell vectors:
S (0.229, 0.755, 0.262)
S (0.235, 0.235, 0.295)
S (0.238, 0.793, 0.730)
S (0.755, 0.755, 0.262)
S (0.755, 0.229, 0.262)
S (0.758, 0.758, 0.727)
S (0.238, 0.238, 0.730)
S (0.793, 0.238, 0.730)
Sr (0.374, 0.374, 0.878)
Tm (0.002, 0.494, 0.502)
Tm (0.494, 0.002, 0.502)
Tm (0.002, 0.002, 0.502)
Tm (0.625, 0.625, 0.124)
Tb (0.002, 0.002, 0.994)

Results
As for the space group: R3m. Its formation energy (no corrections) is -1.981 eV/atom. The calculation puts the energy at -6.068 eV per atom.



7.
Here is a relaxed PaCdGaI6 crystal from Alexandria via LeMat-Bulk. Energies are from GGA-PBE.

Cell: 8.119 8.119 15.813 Å, 90.00 90.00 120.00°
Sites, in units of the cell vectors:
Cd (0.000, 0.000, 0.000)
Cd (0.000, 0.000, 0.500)
Ga (0.667, 0.333, 0.750)
Ga (0.333, 0.667, 0.250)
I (0.650, 0.026, 0.358)
I (0.623, 0.974, 0.858)
I (0.650, 0.623, 0.142)
I (0.377, 0.350, 0.358)
I (0.026, 0.650, 0.858)
I (0.350, 0.377, 0.858)
I (0.026, 0.377, 0.642)
I (0.623, 0.650, 0.642)
I (0.350, 0.974, 0.642)
I (0.377, 0.026, 0.142)
I (0.974, 0.623, 0.358)
I (0.974, 0.350, 0.142)
Pa (0.333, 0.667, 0.750)
Pa (0.667, 0.333, 0.250)

Results
As for the space group: P-31c. Its formation energy (no corrections) is -0.658 eV/atom. The calculation puts the energy at -3.185 eV per atom.



8.
Here is a relaxed Co4Si2Ru crystal from Alexandria via LeMat-Bulk. Energies are from GGA-PBE.

Cell: 3.711 6.678 6.678 Å, 90.00 90.00 90.00°
Sites, in units of the cell vectors:
Co (0.000, 0.347, 0.096)
Co (0.500, 0.153, 0.596)
Co (0.500, 0.404, 0.847)
Co (0.000, 0.653, 0.904)
Co (0.500, 0.847, 0.404)
Co (0.000, 0.904, 0.653)
Co (0.500, 0.596, 0.153)
Co (0.000, 0.096, 0.347)
Si (0.000, 0.207, 0.793)
Si (0.500, 0.293, 0.293)
Si (0.500, 0.707, 0.707)
Si (0.000, 0.793, 0.207)
Ru (0.500, 0.000, 0.000)
Ru (0.000, 0.500, 0.500)

Results
As for the space group: P4_2/mnm. Its formation energy (no corrections) is -0.219 eV/atom. The calculation puts the energy at -7.154 eV per atom.



9.
Here is a relaxed VCrIr crystal from Alexandria via LeMat-Bulk. Energies are from GGA-PBE.

Cell: 3.801 3.801 5.948 Å, 101.61 101.61 88.75°
Sites, in units of the cell vectors:
V (0.065, 0.065, 0.278)
V (0.935, 0.935, 0.722)
Cr (0.000, 0.500, 0.000)
Cr (0.500, 0.000, 0.000)
Ir (0.404, 0.404, 0.682)
Ir (0.596, 0.596, 0.318)

Results
The energy above the most stable polymorph in this dataset is 142 meV/atom. The calculated formation energy is -13 meV/atom. As for the space group: C2/m. The calculation puts the energy at -9.214 eV per atom.



10.
Here is a relaxed Ca3As2 crystal from Alexandria via LeMat-Bulk. Energies are from GGA-PBE.

Cell: 7.507 7.507 7.765 Å, 61.09 61.09 60.00°
Sites, in units of the cell vectors:
Ca (0.250, 0.541, 0.250)
Ca (0.541, 0.959, 0.250)
Ca (0.041, 0.750, 0.750)
Ca (0.459, 0.041, 0.750)
Ca (0.750, 0.459, 0.750)
Ca (0.959, 0.250, 0.250)
As (0.643, 0.643, 0.071)
As (0.357, 0.357, 0.929)
As (0.857, 0.857, 0.429)
As (0.143, 0.143, 0.571)

Results
The calculated formation energy is -1126 meV/atom. As for the space group: R-3c. The calculation puts the energy at -4.186 eV per atom.



11.
Here is a relaxed Zn6IrPt2 crystal from Alexandria via LeMat-Bulk. Energies are from GGA-PBE.

Cell: 3.997 4.551 8.225 Å, 78.85 90.00 116.05°
Sites, in units of the cell vectors:
Zn (0.335, 0.670, 0.401)
Zn (0.998, 0.996, 0.821)
Zn (0.665, 0.330, 0.599)
Zn (0.332, 0.664, 0.062)
Zn (0.668, 0.336, 0.938)
Zn (0.002, 0.004, 0.179)
Pt (0.677, 0.354, 0.264)
Pt (0.323, 0.646, 0.736)
Ir (0.000, 0.000, 0.500)

Results
The energy above the most stable polymorph in this dataset is 0 meV/atom. The calculated formation energy is -327 meV/atom. As for the space group: C2/m. The calculation puts the energy at -3.503 eV per atom.



12.
Here is a relaxed Sc2AgCl crystal from Alexandria via LeMat-Bulk. Energies are from GGA-PBE.

Cell: 5.031 3.320 5.032 Å, 90.02 90.00 90.00°
Sites, in units of the cell vectors:
Sc (0.000, 0.000, 0.875)
Sc (0.500, 0.000, 0.375)
Cl (0.500, 0.000, 0.875)
Ag (0.000, 0.500, 0.375)

Results
The energy above the most stable polymorph in this dataset is 0 meV/atom. As for the space group: P4/mmm. Its formation energy (no corrections) is -0.666 eV/atom. The calculation puts the energy at -5.006 eV per atom.



13.
Here is a relaxed Be2TeRu crystal from Alexandria via LeMat-Bulk. Energies are from GGA-PBE.

Cell: 4.313 4.313 4.313 Å, 60.00 60.00 60.00°
Sites, in units of the cell vectors:
Te (0.250, 0.250, 0.250)
Be (0.750, 0.750, 0.750)
Be (0.000, 0.000, 0.000)
Ru (0.500, 0.500, 0.500)

Results
As for the space group: F-43m. Its formation energy (no corrections) is 0.527 eV/atom. The calculation puts the energy at -4.441 eV per atom.



14.
Here is a relaxed Sc2AgSb crystal from Alexandria via LeMat-Bulk. Energies are from GGA-PBE.

Cell: 5.202 5.202 5.202 Å, 127.95 127.95 76.71°
Sites, in units of the cell vectors:
Ag (0.250, 0.750, 0.500)
Sb (0.750, 0.250, 0.500)
Sc (0.000, 0.000, 0.000)
Sc (0.500, 0.500, 0.000)

Results
As for the space group: I4/mmm. Its formation energy (no corrections) is -0.503 eV/atom. The calculation puts the energy at -5.413 eV per atom.



15.
Here is a relaxed SrIn2Br crystal from Alexandria via LeMat-Bulk. Energies are from GGA-PBE.

Cell: 10.284 10.284 10.284 Å, 22.11 22.11 22.11°
Sites, in units of the cell vectors:
In (0.009, 0.009, 0.009)
In (0.491, 0.491, 0.491)
Br (0.750, 0.750, 0.750)
Sr (0.250, 0.250, 0.250)

Results
The energy above the most stable polymorph in this dataset is 442 meV/atom. As for the space group: R-3m. Its formation energy (no corrections) is -0.256 eV/atom. The calculation puts the energy at -2.464 eV per atom.



16.
Here is a relaxed La2TbPm3Se6 crystal from Alexandria via LeMat-Bulk. Energies are from GGA-PBE.

Cell: 7.321 7.321 7.298 Å, 99.63 99.63 120.18°
Sites, in units of the cell vectors:
La (0.334, 0.666, 0.000)
La (0.666, 0.334, 0.000)
Pm (0.829, 0.171, 0.500)
Pm (0.171, 0.829, 0.500)
Pm (0.500, 0.500, 0.500)
Tb (0.000, 0.000, 0.000)
Se (0.762, 0.762, 0.255)
Se (0.917, 0.593, 0.750)
Se (0.238, 0.238, 0.745)
Se (0.593, 0.917, 0.750)
Se (0.407, 0.083, 0.250)
Se (0.083, 0.407, 0.250)

Results
As for the space group: C2/m. Its formation energy (no corrections) is -1.881 eV/atom. The calculation puts the energy at -6.018 eV per atom.



17.
Here is a relaxed GaSiH2 crystal from Alexandria via LeMat-Bulk. Energies are from GGA-PBE.

Cell: 2.607 4.223 4.961 Å, 67.85 82.54 74.76°
Sites, in units of the cell vectors:
H (0.301, 0.220, 0.341)
H (0.595, 0.692, 0.307)
Ga (0.449, 0.750, 0.695)
Si (0.455, 0.082, 0.079)

Results
The energy above the most stable polymorph in this dataset is 140 meV/atom. As for the space group: P1. The calculation puts the energy at -3.510 eV per atom.



18.
Here is a relaxed BaMn4 crystal from Alexandria via LeMat-Bulk. Energies are from GGA-PBE.

Cell: 5.114 5.114 5.114 Å, 90.00 90.00 90.00°
Sites, in units of the cell vectors:
Mn (0.500, 0.500, 0.000)
Mn (0.500, 0.000, 0.500)
Mn (0.000, 0.000, 0.000)
Mn (0.000, 0.500, 0.500)
Ba (0.500, 0.500, 0.500)

Results
The calculated formation energy is 2226 meV/atom. As for the space group: Pm-3m. The calculation puts the energy at -5.495 eV per atom.



19.
Here is a relaxed CoRh2Se crystal from Alexandria via LeMat-Bulk. Energies are from GGA-PBE.

Cell: 4.039 2.835 5.279 Å, 72.80 90.00 90.00°
Sites, in units of the cell vectors:
Se (0.500, 0.250, 0.250)
Rh (0.000, 0.369, 0.496)
Rh (0.000, 0.131, 0.004)
Co (0.500, 0.750, 0.750)

Results
As for the space group: P2/m. Its formation energy (no corrections) is 0.187 eV/atom. The calculation puts the energy at -6.136 eV per atom.



20.
Here is a relaxed Hf6In2Tc crystal from Alexandria via LeMat-Bulk. Energies are from GGA-PBE.

Cell: 4.724 6.658 8.084 Å, 114.32 107.02 90.00°
Sites, in units of the cell vectors:
Hf (0.154, 0.914, 0.306)
Hf (0.500, 0.769, 0.000)
Hf (0.846, 0.086, 0.694)
Hf (0.846, 0.608, 0.694)
Hf (0.154, 0.392, 0.306)
Hf (0.500, 0.231, 0.000)
In (0.328, 0.329, 0.658)
In (0.672, 0.671, 0.342)
Tc (0.000, 0.000, 0.000)

Results
The calculated formation energy is 218 meV/atom. As for the space group: Immm. The calculation puts the energy at -8.178 eV per atom.